! LaNi2Rh, optimized geometry, DFT PBE; values from VASP
&SYSTEM
  ibrav = 0, nat = 4, ntyp = 3
/
ATOMIC_SPECIES
Ni 58.69 Ni.upf
Rh 102.91 Rh.upf
La 138.91 La.upf
CELL_PARAMETERS angstrom
4.265 0.001 -0.032
2.133 3.693 -0.032
2.156 1.245 4.764
ATOMIC_POSITIONS crystal
Ni 0.059 0.059 0.821
Rh 0.438 0.438 0.684
La 0.249 0.249 0.255
Ni 0.753 0.753 0.740
! - total energy (eV for the cell shown) = -25.2
! - excess energy over the best structure of this formula in the dataset (meV per atom) = 42
! - density (g cm⁻³) = 7.92
! - magnetization (μB/f.u.) = 0.00